LiUCo2O6 | GGA+U | relaxed

abc: 5.6007 5.6007 5.6007
angles: 55.10 55.10 55.10
With the nearest neighbours (Å) after each atom.
Element x y z (fractional)
Co  0.6903  0.6903  0.6903  6 O 1.96
Co  0.2059  0.2059  0.2059  3 O 1.99
U  0.0045  0.0045  0.0045  6 O 2.09-2.12
O  0.3173  0.5858  0.9134  2 Co 1.96-1.99, 1 U 2.12
O  0.0622  0.8039  0.4260  1 Co 1.96, 1 U 2.09, 1 Li 2.11
Li  0.4912  0.4912  0.4912  6 O 2.11-2.24
O  0.4260  0.0622  0.8039  1 Co 1.96, 1 U 2.09, 1 Li 2.11
O  0.8039  0.4260  0.0622  1 Co 1.96, 1 U 2.09, 1 Li 2.11
O  0.9134  0.3173  0.5858  2 Co 1.96-1.99, 1 U 2.12
O  0.5858  0.9134  0.3173  2 Co 1.96-1.99, 1 U 2.12

Summary:
- uncorrected energy (eV per atom) = -7.1983
- spin magnetization (μB/atom) = 0.300